1.
A geometry-optimized AgSO structure, computed with PBE.

a = 5.002 Å, b = 5.699 Å, c = 7.764 Å
α = 94.02°, β = 90.00°, γ = 90.00°
Positions (direct):
Ag 0.786 0.234 0.142
Ag 0.286 0.766 0.358
Ag 0.714 0.234 0.642
Ag 0.214 0.766 0.858
O 0.202 0.375 0.348
O 0.798 0.625 0.652
O 0.702 0.625 0.152
O 0.298 0.375 0.848
S 0.067 0.191 0.868
S 0.567 0.809 0.632
S 0.433 0.191 0.368
S 0.933 0.809 0.132

Summary:
size of the total moment	0.0	μB per cell
formation energy without anion corrections	-0.24	eV per atom

---

2.
A geometry-optimized LiAg2Pd4 structure, computed with PBE.

a = 2.835 Å, b = 2.816 Å, c = 13.794 Å
α = 90.00°, β = 95.90°, γ = 90.00°
Positions (direct):
Pd 0.369 0.000 0.739
Pd 0.941 0.500 0.883
Pd 0.059 0.500 0.117
Pd 0.631 0.000 0.261
Li 0.500 0.000 0.000
Ag 0.795 0.500 0.590
Ag 0.205 0.500 0.410

Summary:
DFT formation energy	-104	meV/atom
size of the total moment	0.0	μB per cell
energy above the most stable polymorph in this dataset	0	meV/atom

---

3.
A geometry-optimized La3Pr7Dy structure, computed with PBE.

a = 6.059 Å, b = 8.732 Å, c = 8.732 Å
α = 82.56°, β = 110.24°, γ = 110.24°
Positions (direct):
La 0.000 0.788 0.212
La 0.000 0.212 0.788
La 0.500 0.000 0.000
Pr 0.698 0.992 0.403
Pr 0.791 0.791 0.791
Pr 0.000 0.500 0.500
Pr 0.698 0.403 0.992
Pr 0.209 0.209 0.209
Pr 0.302 0.008 0.597
Pr 0.302 0.597 0.008
Dy 0.500 0.500 0.500

Summary:
DFT formation energy	216	meV/atom
size of the total moment	0.0	μB per cell
energy above the most stable polymorph in this dataset	6	meV/atom